A plane-wave DFT calculation with PBE-GGA was carried out for an optimized crystal structure of CdOsO2.

Cell: 6.936 6.936 6.936 Å, 144.16 144.16 51.59°
Element x y z (fractional)
Cd (0.000, 0.000, 0.000)
Cd (0.750, 0.250, 0.500)
Os (0.250, 0.750, 0.500)
Os (0.500, 0.500, 0.000)
O (0.213, 0.625, 0.088)
O (0.375, 0.463, 0.588)
O (0.537, 0.125, 0.912)
O (0.875, 0.787, 0.412)

Results
Total magnetic moment (Bohr magnetons per cell): 0.000
Energy relative to the elements, uncorrected (eV per atom): -0.077